Entry 1:
# MnHg2Ru

A geometry-optimized MnHg2Ru structure (PBE, Alexandria).

Calculated density: 13.0 g cm⁻³
Total magnetization: 3.84 μB/f.u.
Space group: Cm (8)
Energy of formation from the pure elements: 1.62 eV/f.u.
DOS(E_F): 0.610 states/eV per atom

a b c (Å): 5.447 5.447 4.802
angles (deg): 68.38 68.38 32.89
Fractional coordinates of all 4 atoms:
1 Hg 0.762 0.762 0.714
2 Hg 0.985 0.985 0.042
3 Ru 0.226 0.226 0.242
4 Mn 0.527 0.527 0.501



Entry 2:
# MnHg2Ru

A geometry-optimized MnHg2Ru structure (PBE, Alexandria).

Calculated density: 12.7 g cm⁻³
Total magnetization: 3.05 μB/f.u.
Space group: R3m (160)
Energy of formation from the pure elements: 1.46 eV/f.u.
DOS(E_F): 0.737 states/eV per atom

a b c (Å): 9.606 9.606 9.606
angles (deg): 17.90 17.90 17.90
Fractional coordinates of all 4 atoms:
1 Mn 0.490 0.490 0.490
2 Hg 0.241 0.241 0.241
3 Hg 0.008 0.008 0.008
4 Ru 0.761 0.761 0.761



Entry 3:
# MnHg2Ru

A geometry-optimized MnHg2Ru structure (PBE, Alexandria).

Calculated density: 13.2 g cm⁻³
Total magnetization: 4.55 μB/f.u.
Space group: I4/mmm (139)
Energy of formation from the pure elements: 1.64 eV/f.u.
DOS(E_F): 0.579 states/eV per atom

a b c (Å): 5.032 5.032 5.032
angles (deg): 131.40 131.40 71.18
Fractional coordinates of all 4 atoms:
1 Ru 0.750 0.250 0.500
2 Hg 0.000 0.000 0.000
3 Hg 0.500 0.500 0.000
4 Mn 0.250 0.750 0.500



Entry 4:
# MnHgRu3

A geometry-optimized MnHgRu3 structure (PBE, Alexandria).

Calculated density: 10.6 g cm⁻³
Total magnetization: 0.00 μB/f.u.
Space group: Pm-3m (221)
Energy of formation from the pure elements: 5.92 eV/f.u.
DOS(E_F): 1.424 states/eV per atom

a b c (Å): 4.436 4.436 4.436
angles (deg): 90.00 90.00 90.00
Fractional coordinates of all 5 atoms:
1 Hg 0.500 0.500 0.500
2 Ru 0.000 0.500 0.000
3 Ru 0.000 0.000 0.500
4 Ru 0.500 0.000 0.000
5 Mn 0.000 0.000 0.000



Entry 5:
# MnHg2Ru

A geometry-optimized MnHg2Ru structure (PBE, Alexandria).

Calculated density: 12.6 g cm⁻³
Total magnetization: 3.03 μB/f.u.
Space group: Pm (6)
Energy of formation from the pure elements: 1.10 eV/f.u.
DOS(E_F): 0.854 states/eV per atom

a b c (Å): 2.999 3.020 8.241
angles (deg): 78.80 90.00 90.00
Fractional coordinates of all 4 atoms:
1 Hg 0.000 0.196 0.962
2 Hg 0.500 0.050 0.292
3 Mn 0.000 0.420 0.540
4 Ru 0.500 0.833 0.707



Entry 6:
# MnHg2Ru

A geometry-optimized MnHg2Ru structure (PBE, Alexandria).

Calculated density: 13.1 g cm⁻³
Total magnetization: 4.66 μB/f.u.
Space group: Cmmm (65)
Energy of formation from the pure elements: 1.77 eV/f.u.
DOS(E_F): 0.690 states/eV per atom

a b c (Å): 4.811 4.811 3.150
angles (deg): 90.00 90.00 104.94
Fractional coordinates of all 4 atoms:
1 Mn 0.500 0.000 0.500
2 Ru 0.000 0.500 0.500
3 Hg 0.500 0.500 0.000
4 Hg 0.000 0.000 0.000



Energy above the most stable polymorph in this dataset across the listed records, respectively: 131.3 90.6 137.3 0.0 0.0 168.6 meV per atom.
Raw total energy across the listed records, respectively: -4.36 -4.40 -4.35 -6.27 -4.49 -4.32 eV/atom.